Run A
Crystalline Tl2RePt at its relaxed geometry, computed with PBE.

Geometry as CIF:
```
data_Tl2RePt
_cell_length_a 6.620
_cell_length_b 6.620
_cell_length_c 6.620
_cell_angle_alpha 154.37
_cell_angle_beta 137.55
_cell_angle_gamma 50.25
_space_group_name_H-M_alt 'P 1'
_space_group_IT_number 1
_space_group_name_Hall 'P 1'
loop_
_atom_site_label
_atom_site_fract_x
_atom_site_fract_y
_atom_site_fract_z
_atom_site_occupancy
Re1 0.260 0.760 0.500 1
Tl1 0.041 0.041 0.000 1
Tl2 0.755 0.255 0.500 1
Pt1 0.445 0.445 0.000 1
```

Run B
Crystalline Tl2RePt at its relaxed geometry, computed with PBE.

Geometry as CIF:
```
data_Tl2RePt
_cell_length_a 5.709
_cell_length_b 5.709
_cell_length_c 2.971
_cell_angle_alpha 74.93
_cell_angle_beta 74.93
_cell_angle_gamma 113.79
_space_group_name_H-M_alt 'P 1'
_space_group_IT_number 1
_space_group_name_Hall 'P 1'
loop_
_atom_site_label
_atom_site_fract_x
_atom_site_fract_y
_atom_site_fract_z
_atom_site_occupancy
Tl1 0.500 0.500 0.000 1
Tl2 0.000 0.000 0.000 1
Re1 0.000 0.500 0.500 1
Pt1 0.500 0.000 0.500 1
```

Which of them is the least stable? Correct choice: run B.

Run A
Crystalline Tl2RePt at its relaxed geometry, computed with PBE.

Geometry as CIF:
```
data_Tl2RePt
_cell_length_a 3.049
_cell_length_b 5.412
_cell_length_c 4.748
_cell_angle_alpha 90.00
_cell_angle_beta 90.00
_cell_angle_gamma 90.00
_space_group_name_H-M_alt 'P 1'
_space_group_IT_number 1
_space_group_name_Hall 'P 1'
loop_
_atom_site_label
_atom_site_fract_x
_atom_site_fract_y
_atom_site_fract_z
_atom_site_occupancy
Re1 0.000 0.500 0.500 1
Pt1 0.500 0.000 0.500 1
Tl1 0.000 0.000 0.000 1
Tl2 0.500 0.500 0.000 1
```

Run B
Crystalline Tl2RePt at its relaxed geometry, computed with PBE.

Geometry as CIF:
```
data_Tl2RePt
_cell_length_a 2.981
_cell_length_b 2.981
_cell_length_c 9.768
_cell_angle_alpha 90.00
_cell_angle_beta 90.00
_cell_angle_gamma 90.00
_space_group_name_H-M_alt 'P 1'
_space_group_IT_number 1
_space_group_name_Hall 'P 1'
loop_
_atom_site_label
_atom_site_fract_x
_atom_site_fract_y
_atom_site_fract_z
_atom_site_occupancy
Re1 0.500 0.500 0.712 1
Pt1 0.000 0.000 0.549 1
Tl1 0.000 0.000 0.955 1
Tl2 0.500 0.500 0.285 1
```

Which of them is the least stable? Correct choice: run A.

Run A
Crystalline Tl2RePt at its relaxed geometry, computed with PBE.

Geometry as CIF:
```
data_Tl2RePt
_cell_length_a 4.755
_cell_length_b 4.755
_cell_length_c 4.755
_cell_angle_alpha 60.00
_cell_angle_beta 60.00
_cell_angle_gamma 60.00
_space_group_name_H-M_alt 'P 1'
_space_group_IT_number 1
_space_group_name_Hall 'P 1'
loop_
_atom_site_label
_atom_site_fract_x
_atom_site_fract_y
_atom_site_fract_z
_atom_site_occupancy
Re1 0.000 0.000 0.000 1
Tl1 0.750 0.750 0.750 1
Tl2 0.250 0.250 0.250 1
Pt1 0.500 0.500 0.500 1
```

Run B
Crystalline Tl2RePt at its relaxed geometry, computed with PBE.

Geometry as CIF:
```
data_Tl2RePt
_cell_length_a 4.676
_cell_length_b 2.980
_cell_length_c 5.589
_cell_angle_alpha 88.94
_cell_angle_beta 90.00
_cell_angle_gamma 90.00
_space_group_name_H-M_alt 'P 1'
_space_group_IT_number 1
_space_group_name_Hall 'P 1'
loop_
_atom_site_label
_atom_site_fract_x
_atom_site_fract_y
_atom_site_fract_z
_atom_site_occupancy
Pt1 0.500 0.250 0.250 1
Tl1 0.000 0.025 0.999 1
Tl2 0.000 0.475 0.501 1
Re1 0.500 0.750 0.750 1
```

Run C
Crystalline Tl2RePt at its relaxed geometry, computed with PBE.

Geometry as CIF:
```
data_Tl2RePt
_cell_length_a 9.307
_cell_length_b 9.307
_cell_length_c 9.307
_cell_angle_alpha 19.24
_cell_angle_beta 19.24
_cell_angle_gamma 19.24
_space_group_name_H-M_alt 'P 1'
_space_group_IT_number 1
_space_group_name_Hall 'P 1'
loop_
_atom_site_label
_atom_site_fract_x
_atom_site_fract_y
_atom_site_fract_z
_atom_site_occupancy
Pt1 0.250 0.250 0.250 1
Tl1 0.999 0.999 0.999 1
Tl2 0.501 0.501 0.501 1
Re1 0.750 0.750 0.750 1
```

Which of them is the least stable? Correct choice: run A.

Run A
Crystalline Tl2RePt at its relaxed geometry, computed with PBE.

Geometry as CIF:
```
data_Tl2RePt
_cell_length_a 5.508
_cell_length_b 5.508
_cell_length_c 5.508
_cell_angle_alpha 136.44
_cell_angle_beta 136.44
_cell_angle_gamma 63.30
_space_group_name_H-M_alt 'P 1'
_space_group_IT_number 1
_space_group_name_Hall 'P 1'
loop_
_atom_site_label
_atom_site_fract_x
_atom_site_fract_y
_atom_site_fract_z
_atom_site_occupancy
Tl1 0.000 0.000 0.000 1
Tl2 0.750 0.250 0.500 1
Pt1 0.500 0.500 0.000 1
Re1 0.250 0.750 0.500 1
```

Run B
Crystalline Tl2RePt at its relaxed geometry, computed with PBE.

Geometry as CIF:
```
data_Tl2RePt
_cell_length_a 3.407
_cell_length_b 3.407
_cell_length_c 6.530
_cell_angle_alpha 90.00
_cell_angle_beta 90.00
_cell_angle_gamma 90.00
_space_group_name_H-M_alt 'P 1'
_space_group_IT_number 1
_space_group_name_Hall 'P 1'
loop_
_atom_site_label
_atom_site_fract_x
_atom_site_fract_y
_atom_site_fract_z
_atom_site_occupancy
Re1 0.500 0.500 0.750 1
Pt1 0.500 0.500 0.250 1
Tl1 0.000 0.000 0.997 1
Tl2 0.000 0.000 0.503 1
```

Which of them is the least stable? Correct choice: run A.

Run A
Crystalline TlRePt at its relaxed geometry, computed with PBE.

Geometry as CIF:
```
data_TlRePt
_cell_length_a 2.957
_cell_length_b 2.957
_cell_length_c 7.059
_cell_angle_alpha 90.00
_cell_angle_beta 90.00
_cell_angle_gamma 120.00
_space_group_name_H-M_alt 'P 1'
_space_group_IT_number 1
_space_group_name_Hall 'P 1'
loop_
_atom_site_label
_atom_site_fract_x
_atom_site_fract_y
_atom_site_fract_z
_atom_site_occupancy
Re1 0.667 0.333 0.312 1
Pt1 0.000 0.000 0.021 1
Tl1 0.333 0.667 0.667 1
```

Run B
Crystalline TlRePt at its relaxed geometry, computed with PBE.

Geometry as CIF:
```
data_TlRePt
_cell_length_a 6.652
_cell_length_b 7.240
_cell_length_c 7.240
_cell_angle_alpha 156.82
_cell_angle_beta 156.20
_cell_angle_gamma 34.20
_space_group_name_H-M_alt 'P 1'
_space_group_IT_number 1
_space_group_name_Hall 'P 1'
loop_
_atom_site_label
_atom_site_fract_x
_atom_site_fract_y
_atom_site_fract_z
_atom_site_occupancy
Pt1 0.112 0.978 0.134 1
Tl1 0.531 0.674 0.857 1
Re1 0.357 0.348 0.009 1
```

Which of them is the least stable? Correct choice: run A.

Run A
Crystalline TlRePt at its relaxed geometry, computed with PBE.

Geometry as CIF:
```
data_TlRePt
_cell_length_a 6.641
_cell_length_b 6.641
_cell_length_c 2.922
_cell_angle_alpha 77.29
_cell_angle_beta 77.29
_cell_angle_gamma 25.42
_space_group_name_H-M_alt 'P 1'
_space_group_IT_number 1
_space_group_name_Hall 'P 1'
loop_
_atom_site_label
_atom_site_fract_x
_atom_site_fract_y
_atom_site_fract_z
_atom_site_occupancy
Re1 0.652 0.652 0.348 1
Pt1 0.017 0.017 0.983 1
Tl1 0.331 0.331 0.669 1
```

Run B
Crystalline TlRePt at its relaxed geometry, computed with PBE.

Geometry as CIF:
```
data_TlRePt
_cell_length_a 4.441
_cell_length_b 4.441
_cell_length_c 4.441
_cell_angle_alpha 60.00
_cell_angle_beta 60.00
_cell_angle_gamma 60.00
_space_group_name_H-M_alt 'P 1'
_space_group_IT_number 1
_space_group_name_Hall 'P 1'
loop_
_atom_site_label
_atom_site_fract_x
_atom_site_fract_y
_atom_site_fract_z
_atom_site_occupancy
Re1 0.000 0.000 0.000 1
Pt1 0.250 0.250 0.250 1
Tl1 0.500 0.500 0.500 1
```

Which of them is the least stable? Correct choice: run B.